## K2ZrW (PBE)

Data for a relaxed K2ZrW crystal.

Properties
ΔE_f = 165 kJ per mole of atoms
Crystal system = tetragonal
Offset from the most stable computed form = 872 meV per atom

a b c (Å): 5.325 5.325 5.325
angles (deg): 120.09 120.09 89.84
Site moments in Bohr magnetons follow the coordinates.
Element x y z (fractional)
1 K 0.000 0.000 0.000  0.00
2 K 0.250 0.750 0.500  0.01
3 W 0.500 0.500 0.000  1.32
4 Zr 0.750 0.250 0.500  -0.12

=====

## PrTlSiO4 (PBE)

Data for a relaxed PrTlSiO4 crystal.

Properties
Crystal system = monoclinic
ΔE_f (raw) = -2562.0 meV/atom

a b c (Å): 6.045 5.636 7.906
angles (deg): 90.00 104.47 90.00
Element x y z (fractional)
1 Pr 0.772 0.750 0.427
2 Pr 0.228 0.250 0.573
3 Tl 0.702 0.750 0.884
4 Tl 0.298 0.250 0.116
5 Si 0.253 0.750 0.354
6 Si 0.747 0.250 0.646
7 O 0.922 0.480 0.663
8 O 0.078 0.980 0.337
9 O 0.078 0.520 0.337
10 O 0.922 0.020 0.663
11 O 0.416 0.750 0.217
12 O 0.584 0.250 0.783
13 O 0.425 0.750 0.554
14 O 0.575 0.250 0.446

=====

## CoNi2GeH (PBE)

Data for a relaxed CoNi2GeH crystal.

Properties
Crystal system = tetragonal

a b c (Å): 3.597 3.597 3.663
angles (deg): 90.00 90.00 90.00
Element x y z (fractional)
1 Ni 0.000 0.500 0.000
2 Ni 0.500 0.000 0.000
3 Ge 0.500 0.500 0.500
4 Co 0.000 0.000 0.500
5 H 0.000 0.000 0.000

=====

## Li4U3CuS8 (PBE)

Data for a relaxed Li4U3CuS8 crystal.

Properties
Crystal system = monoclinic
ΔE_f (raw) = -1232.1 meV/atom

a b c (Å): 7.588 7.612 7.583
angles (deg): 119.88 120.02 90.00
Site moments in Bohr magnetons follow the coordinates.
Element x y z (fractional)
1 Li 0.500 0.000 0.000  0.00
2 Li 0.500 0.000 0.500  0.00
3 Li 0.000 0.000 0.000  0.00
4 Li 0.000 0.000 0.500  0.00
5 U 0.500 0.500 0.000  2.24
6 U 0.500 0.500 0.500  2.24
7 U 0.000 0.500 0.500  2.24
8 Cu 0.000 0.500 0.000  -0.05
9 S 0.247 0.749 0.002  -0.06
10 S 0.247 0.748 0.493  -0.06
11 S 0.246 0.238 0.492  -0.06
12 S 0.755 0.749 0.002  -0.06
13 S 0.245 0.251 0.998  -0.06
14 S 0.754 0.762 0.508  -0.06
15 S 0.753 0.252 0.507  -0.06
16 S 0.753 0.251 0.998  -0.06

=====

## Be3ReI (PBE)

Data for a relaxed Be3ReI crystal.

Properties
Crystal system = cubic
Offset from the most stable computed form = 1101 meV per atom
ΔE_f (raw) = 2387.7 meV/atom

a b c (Å): 4.449 4.449 4.449
angles (deg): 90.00 90.00 90.00
Element x y z (fractional)
1 I 0.000 0.000 0.000
2 Re 0.500 0.500 0.500
3 Be 0.000 0.500 0.000
4 Be 0.000 0.000 0.500
5 Be 0.500 0.000 0.000

=====

## Na2TlF4 (PBE)

Data for a relaxed Na2TlF4 crystal.

Properties
Crystal system = tetragonal
Offset from the most stable computed form = 143 meV per atom
ΔE_f (raw) = -2122.9 meV/atom

a b c (Å): 4.658 4.658 7.066
angles (deg): 70.76 70.76 90.00
Element x y z (fractional)
1 Na 0.357 0.357 0.287
2 Na 0.643 0.643 0.713
3 Tl 0.000 0.000 0.000
4 F 0.186 0.186 0.627
5 F 0.814 0.814 0.373
6 F 0.000 0.500 0.000
7 F 0.500 0.000 0.000

=====

Number 1: Fermi-level density of states 6.33 states/eV/cell, DFT total energy -4.21 eV per atom. Number 2: Fermi-level density of states 0.00 states/eV/cell, DFT total energy -7.19 eV per atom. Number 3: Fermi-level density of states 2.28 states/eV/cell, DFT total energy -5.53 eV per atom. Number 4: Fermi-level density of states 9.12 states/eV/cell, DFT total energy -6.15 eV per atom. Number 5: Fermi-level density of states 1.11 states/eV/cell, DFT total energy -2.65 eV per atom. Number 6: Fermi-level density of states 1.70 states/eV/cell, DFT total energy -3.91 eV per atom.